The following is a DFT calculation (GGA+U) of a relaxed HfCo2TcF crystal.

Values from the calculation:
Its total DFT energy (no corrections) is -5.578 eV/atom.

Cell lengths 4.544, 4.544, 4.972 Å; angles 90.00, 90.00, 90.00 degrees
Fractional coordinates of all 5 atoms:
Hf 0.000 0.000 0.000
Co 0.000 0.500 0.500
Co 0.500 0.000 0.500
Tc 0.000 0.000 0.500
F 0.500 0.500 0.000